Entry 1:
Tb2Pm4Dy3: optimized geometry, PBE.

extended XYZ file:
```
9
Lattice="6.4110 -1.8225 0.0000 6.4110 1.8225 0.0000 -6.2034 0.0000 12.9457" Properties=species:S:1:pos:R:3 pbc="T T T"
Tb -0.6550 0.0000 2.7208
Tb 7.2737 0.0000 10.2249
Pm -0.9855 0.0000 7.8439
Pm 2.7660 0.0000 1.6547
Pm 3.8526 0.0000 11.2911
Pm 7.6041 0.0000 5.1018
Dy 2.5262 0.0000 7.9213
Dy 6.4110 0.0000 0.0000
Dy 4.0925 0.0000 5.0245
```

Output
Space group: C2/m (12)
Raw total energy in eV per atom: -4.5876
Fermi-level density of states in states/eV per cell: 12.31
ΔH_f (0 K) in eV per atom: 0.09

Entry 2:
Tb7PmDy12: optimized geometry, PBE.

extended XYZ file:
```
20
Lattice="6.4080 3.6997 4.5493 -6.4080 3.6997 4.5493 0.0000 -7.3993 4.5493" Properties=species:S:1:pos:R:3 pbc="T T T"
Tb 0.0000 0.0000 0.0000
Tb -1.7270 -1.4776 4.7604
Tb -0.4161 2.2344 4.7604
Tb 2.1431 -0.7568 4.7604
Tb -2.1431 0.7568 8.8876
Tb 0.4161 -2.2344 8.8876
Tb 1.7270 1.4776 8.8876
Pm 0.0000 0.0000 6.8240
Dy -0.4099 -2.2189 2.0942
Dy -1.7167 1.4644 2.0942
Dy -3.6439 1.1380 5.6672
Dy -2.8075 -2.5867 7.9808
Dy 0.8364 -3.7247 5.6672
Dy 2.1266 0.7545 2.0942
Dy -2.1266 -0.7545 11.5539
Dy -0.8364 3.7247 7.9809
Dy 2.8075 2.5867 5.6672
Dy 3.6439 -1.1380 7.9809
Dy 1.7167 -1.4644 11.5538
Dy 0.4099 2.2189 11.5538
```

Output
Space group: R-3 (148)
Raw total energy in eV per atom: -4.3261
Fermi-level density of states in states/eV per cell: 17.37
ΔH_f (0 K) in eV per atom: 0.29